# PBE-GGA NaLi2SbF, optimized geometry
# D(E_F) (states/eV per atom): 0.53
# Formation energy from raw total energies (meV per atom): -1302.3
data_NaLi2SbF
_cell_length_a 4.340
_cell_length_b 4.340
_cell_length_c 4.609
_cell_angle_alpha 90.00
_cell_angle_beta 90.00
_cell_angle_gamma 90.00
_space_group_name_H-M_alt 'P 4/m m m'
_space_group_IT_number 123
_space_group_name_Hall '-P 4 2'
loop_
_atom_site_label
_atom_site_type_symbol
_atom_site_fract_x
_atom_site_fract_y
_atom_site_fract_z
_atom_site_occupancy
Na1 Na 0.000 0.000 0.000 1
Li1 Li 0.000 0.500 0.500 1
Sb1 Sb 0.500 0.500 0.000 1
F1 F 0.000 0.000 0.500 1

# PBE-GGA Na2LiSbF, optimized geometry
# D(E_F) (states/eV per atom): 0.09
# Formation energy from raw total energies (meV per atom): -1328.2
data_Na2LiSbF
_cell_length_a 5.233
_cell_length_b 5.233
_cell_length_c 3.668
_cell_angle_alpha 90.00
_cell_angle_beta 90.00
_cell_angle_gamma 90.00
_space_group_name_H-M_alt 'P 4/m m m'
_space_group_IT_number 123
_space_group_name_Hall '-P 4 2'
loop_
_atom_site_label
_atom_site_type_symbol
_atom_site_fract_x
_atom_site_fract_y
_atom_site_fract_z
_atom_site_occupancy
Na1 Na 0.000 0.500 0.000 1
Li1 Li 0.000 0.000 0.500 1
Sb1 Sb 0.500 0.500 0.500 1
F1 F 0.000 0.000 0.000 1

# PBE-GGA Na2LiSbF6, optimized geometry
# D(E_F) (states/eV per atom): 0.00
# Formation energy from raw total energies (meV per atom): -2603.6
# Energy above the lowest structure with this stoichiometry (eV/atom): 0.000
data_Na2LiSbF6
_cell_length_a 5.606
_cell_length_b 5.772
_cell_length_c 9.873
_cell_angle_alpha 90.00
_cell_angle_beta 121.46
_cell_angle_gamma 90.00
_space_group_name_H-M_alt 'P 1 21/c 1'
_space_group_IT_number 14
_space_group_name_Hall '-P 2ybc'
loop_
_atom_site_label
_atom_site_type_symbol
_atom_site_fract_x
_atom_site_fract_y
_atom_site_fract_z
_atom_site_occupancy
Na1 Na 0.210 0.058 0.241 1
Li1 Li 0.000 0.000 0.500 1
Sb1 Sb 0.500 0.000 0.000 1
F1 F 0.125 0.210 0.936 1
F2 F 0.215 0.698 0.924 1
F3 F 0.387 0.061 0.752 1

| no. | size of the total moment (Bohr magnetons per cell) |
| --- | --- |
| 1 | 0.000 |
| 2 | 0.000 |
| 3 | 0.000 |